Density functional theory data (PBE-GGA) for Al3BPt after structural relaxation.

Unit cell a=4.1223 b=4.1223 c=4.1223 alpha=90.00 beta=90.00 gamma=90.00
Positions (direct):
Al 0.0000 0.0000 0.5000
Al 0.0000 0.5000 0.0000
Al 0.5000 0.0000 0.0000
B 0.0000 0.0000 0.0000
Pt 0.5000 0.5000 0.5000

Values from the calculation:
Its formation energy is -0.0605 eV/atom. As for the total energy: -4.850 eV per atom. The density is 6.8 g/cm³.